[1]
Material: K2Ru
Method: DFT, GGA-PBE
State: optimized geometry

```
K2Ru
1.0
5.7433 0.0000 0.0000
-2.8717 4.9739 0.0000
0.0000 0.0000 2.8041
K Ru
2 1
Direct
0.3333 0.6667 0.0031 K
0.6667 0.3333 0.9969 K
0.0000 0.0000 0.5000 Ru
```

Summary:
The calculation puts the energy above the most stable polymorph in this dataset at 555 meV/atom. The calculation puts the energy at -0.195 Ry/atom. The value obtained for the formation energy from the elements is 3.50 eV per formula unit.

[2]
Material: V3FeOs
Method: DFT, GGA-PBE
State: optimized geometry

```
V3FeOs
1.0
5.4507 -4.2649 0.0000
5.4507 4.2649 0.0000
-0.0043 0.0000 6.0947
V Fe Os
12 4 4
Direct
0.1249 0.1258 0.0005 V
0.1258 0.1249 0.5005 V
0.1820 0.5408 0.5557 V
0.1826 0.5392 0.9447 V
0.4592 0.8180 0.9443 V
0.4608 0.8174 0.5553 V
0.5392 0.1826 0.4447 V
0.5408 0.1820 0.0557 V
0.8174 0.4608 0.0553 V
0.8180 0.4592 0.4443 V
0.8742 0.8751 0.4995 V
0.8751 0.8742 0.9995 V
0.1700 0.3572 0.2508 Fe
0.3572 0.1700 0.7508 Fe
0.6428 0.8300 0.2492 Fe
0.8300 0.6428 0.7492 Fe
0.1722 0.8278 0.2500 Os
0.4880 0.5120 0.2500 Os
0.5120 0.4880 0.7500 Os
0.8278 0.1722 0.7500 Os
```

Summary:
The calculation puts the energy above the most stable polymorph in this dataset at 0 meV/atom. The calculation puts the energy at -0.677 Ry/atom. The value obtained for the formation energy from the elements is 1.01 eV per formula unit.

[3]
Material: Si2AgOs
Method: DFT, GGA-PBE
State: optimized geometry

```
Si2AgOs
1.0
1.4546 -2.5067 0.0000
1.4546 2.5067 0.0000
0.0000 0.0000 8.6592
Si Ag Os
2 1 1
Direct
0.0000 0.0000 0.2237 Si
0.0000 0.0000 0.7763 Si
0.5000 0.5000 0.5000 Ag
0.5000 0.5000 0.0000 Os
```

Summary:
The calculation puts the energy above the most stable polymorph in this dataset at 283 meV/atom. As for the raw formation energy: 0.315 eV/atom. The calculation puts the energy at -0.435 Ry/atom.

[4]
Material: DyY2InS6
Method: DFT, GGA-PBE
State: optimized geometry

```
DyY2InS6
1.0
3.4316 1.9812 6.1182
-3.4316 1.9812 6.1182
0.0000 -3.9625 6.1182
Dy Y In S
1 2 1 6
Direct
0.0000 0.0000 0.0000 Dy
0.2983 0.2983 0.2983 Y
0.7966 0.7966 0.7966 Y
0.5008 0.5008 0.5008 In
0.1047 0.7002 0.3951 S
0.2079 0.5992 0.8870 S
0.3951 0.1047 0.7002 S
0.5992 0.8870 0.2079 S
0.7002 0.3951 0.1047 S
0.8870 0.2079 0.5992 S
```

Summary:
As for the raw formation energy: -1.653 eV/atom. The calculation puts the energy at -0.453 Ry/atom.